First-principles (GGA-PBE) data for an optimized crystal structure of B2C, as listed in Alexandria.

## Properties
Energy relative to the elements = 172 kJ/mol of formula units
Energy above the most stable polymorph in this dataset = 0.411 eV per atom
Space-group type = P3m1 (156)
Theoretical density = 2.577 g cm⁻³

a = 2.708 Å, b = 2.708 Å, c = 13.648 Å
α = 90.00°, β = 90.00°, γ = 120.00°
Atoms (fractional coordinates):
B (0.000, 0.000, 0.000)
B (0.000, 0.000, 0.120)
B (0.000, 0.000, 0.519)
B (0.333, 0.667, 0.196)
B (0.667, 0.333, 0.037)
B (0.667, 0.333, 0.323)
B (0.667, 0.333, 0.457)
B (0.667, 0.333, 0.811)
C (0.000, 0.000, 0.635)
C (0.333, 0.667, 0.310)
C (0.333, 0.667, 0.674)
C (0.333, 0.667, 0.792)

First-principles (GGA-PBE) data for an optimized crystal structure of Rb4TlSn3Br12, as listed in Alexandria.

## Properties
Energy relative to the elements, uncorrected = -1.1441 eV per atom
Space-group type = Im-3m (229)
Theoretical density = 3.842 g cm⁻³

a = 10.148 Å, b = 10.148 Å, c = 10.148 Å
α = 109.47°, β = 109.47°, γ = 109.47°
Atoms (fractional coordinates):
Rb (0.000, 0.000, 0.500)
Rb (0.000, 0.500, 0.000)
Rb (0.500, 0.000, 0.000)
Rb (0.500, 0.500, 0.500)
Tl (0.000, 0.000, 0.000)
Sn (0.000, 0.500, 0.500)
Sn (0.500, 0.000, 0.500)
Sn (0.500, 0.500, 0.000)
Br (0.000, 0.258, 0.258)
Br (0.000, 0.742, 0.742)
Br (0.250, 0.500, 0.750)
Br (0.250, 0.750, 0.500)
Br (0.258, 0.000, 0.258)
Br (0.258, 0.258, 0.000)
Br (0.500, 0.250, 0.750)
Br (0.500, 0.750, 0.250)
Br (0.742, 0.000, 0.742)
Br (0.742, 0.742, 0.000)
Br (0.750, 0.250, 0.500)
Br (0.750, 0.500, 0.250)

First-principles (GGA-PBE) data for an optimized crystal structure of PmEr3Zn, as listed in Alexandria.

## Properties
Energy relative to the elements = 28 kJ/mol of formula units
Space-group type = C2/m (12)
Theoretical density = 7.748 g cm⁻³

a = 7.138 Å, b = 7.138 Å, c = 7.705 Å
α = 117.80°, β = 117.80°, γ = 72.35°
Atoms (fractional coordinates):
Pm (0.083, 0.083, 0.274)
Pm (0.917, 0.917, 0.726)
Er (0.011, 0.610, 0.282)
Er (0.390, 0.989, 0.718)
Er (0.451, 0.451, 0.688)
Er (0.549, 0.549, 0.312)
Er (0.610, 0.011, 0.282)
Er (0.989, 0.390, 0.718)
Zn (0.237, 0.237, 0.069)
Zn (0.763, 0.763, 0.931)

First-principles (GGA-PBE) data for an optimized crystal structure of HfMgTaSn2, as listed in Alexandria.

## Properties
Energy relative to the elements = 310 kJ/mol of formula units
Energy above the most stable polymorph in this dataset = 0.000 eV per atom
Space-group type = P4/mmm (123)
Theoretical density = 6.956 g cm⁻³

a = 5.381 Å, b = 5.381 Å, c = 5.121 Å
α = 90.00°, β = 90.00°, γ = 90.00°
Atoms (fractional coordinates):
Hf (0.000, 0.000, 0.000)
Mg (0.500, 0.500, 0.000)
Ta (0.000, 0.000, 0.500)
Sn (0.000, 0.500, 0.500)
Sn (0.500, 0.000, 0.500)

First-principles (GGA-PBE) data for an optimized crystal structure of SmCoB, as listed in Alexandria.

## Properties
Energy relative to the elements = -68 kJ/mol of formula units
Energy above the most stable polymorph in this dataset = 0.198 eV per atom
Space-group type = P-6m2 (187)
Theoretical density = 7.972 g cm⁻³

a = 3.589 Å, b = 3.589 Å, c = 4.111 Å
α = 90.00°, β = 90.00°, γ = 120.00°
Atoms (fractional coordinates):
Sm (0.000, 0.000, 0.000)
Co (0.667, 0.333, 0.500)
B (0.333, 0.667, 0.500)

First-principles (GGA-PBE) data for an optimized crystal structure of NdDy4S5, as listed in Alexandria.

## Properties
Energy relative to the elements, uncorrected = -1.9899 eV per atom
Space-group type = Immm (71)
Theoretical density = 7.334 g cm⁻³

a = 10.438 Å, b = 10.438 Å, c = 10.438 Å
α = 158.28°, β = 149.05°, γ = 38.13°
Atoms (fractional coordinates):
Nd (0.000, 0.000, 0.000)
Dy (0.202, 0.202, 0.000)
Dy (0.400, 0.400, 0.000)
Dy (0.600, 0.600, 0.000)
Dy (0.798, 0.798, 0.000)
S (0.105, 0.605, 0.500)
S (0.301, 0.801, 0.500)
S (0.500, 0.000, 0.500)
S (0.699, 0.199, 0.500)
S (0.895, 0.395, 0.500)

First-principles (GGA-PBE) data for an optimized crystal structure of H2PdPb, as listed in Alexandria.

## Properties
Energy above the most stable polymorph in this dataset = 0.077 eV per atom
Space-group type = I-42d (122)
Theoretical density = 9.440 g cm⁻³

a = 4.848 Å, b = 4.848 Å, c = 9.450 Å
α = 90.00°, β = 90.00°, γ = 90.00°
Atoms (fractional coordinates):
H (0.086, 0.250, 0.125)
H (0.250, 0.586, 0.375)
H (0.250, 0.914, 0.875)
H (0.414, 0.250, 0.625)
H (0.586, 0.750, 0.625)
H (0.750, 0.086, 0.875)
H (0.750, 0.414, 0.375)
H (0.914, 0.750, 0.125)
Pd (0.000, 0.000, 0.000)
Pd (0.000, 0.500, 0.250)
Pd (0.500, 0.000, 0.750)
Pd (0.500, 0.500, 0.500)
Pb (0.000, 0.000, 0.500)
Pb (0.000, 0.500, 0.750)
Pb (0.500, 0.000, 0.250)
Pb (0.500, 0.500, 0.000)

First-principles (GGA-PBE) data for an optimized crystal structure of Ac3OsO6, as listed in Alexandria.

## Properties
Energy relative to the elements, uncorrected = -2.4867 eV per atom
Space-group type = Cmc2_1 (36)
Theoretical density = 8.645 g cm⁻³

a = 7.963 Å, b = 7.963 Å, c = 6.059 Å
α = 90.00°, β = 90.00°, γ = 104.74°
Atoms (fractional coordinates):
Ac (0.101, 0.899, 0.500)
Ac (0.186, 0.406, 0.533)
Ac (0.406, 0.186, 0.033)
Ac (0.594, 0.814, 0.533)
Ac (0.814, 0.594, 0.033)
Ac (0.899, 0.101, 0.000)
Os (0.288, 0.712, 0.065)
Os (0.712, 0.288, 0.565)
O (0.090, 0.610, 0.275)
O (0.146, 0.168, 0.272)
O (0.168, 0.146, 0.772)
O (0.287, 0.713, 0.764)
O (0.390, 0.910, 0.275)
O (0.419, 0.581, 0.290)
O (0.581, 0.419, 0.790)
O (0.610, 0.090, 0.775)
O (0.713, 0.287, 0.264)
O (0.832, 0.854, 0.272)
O (0.854, 0.832, 0.772)
O (0.910, 0.390, 0.775)

First-principles (GGA-PBE) data for an optimized crystal structure of TaMn, as listed in Alexandria.

## Properties
Energy relative to the elements = -5 kJ/mol of formula units
Space-group type = Cm (8)
Theoretical density = 13.236 g cm⁻³

a = 9.922 Å, b = 3.087 Å, c = 6.084 Å
α = 90.00°, β = 107.67°, γ = 90.00°
Atoms (fractional coordinates):
Ta (0.000, 0.000, 0.000)
Ta (0.009, 0.000, 0.518)
Ta (0.193, 0.500, 0.348)
Ta (0.500, 0.500, 0.000)
Ta (0.509, 0.500, 0.518)
Ta (0.693, 0.000, 0.348)
Mn (0.188, 0.500, 0.853)
Mn (0.344, 0.000, 0.676)
Mn (0.348, 0.000, 0.177)
Mn (0.688, 0.000, 0.853)
Mn (0.844, 0.500, 0.676)
Mn (0.848, 0.500, 0.177)

First-principles (GGA-PBE) data for an optimized crystal structure of RbNpBeN3, as listed in Alexandria.

## Properties
Energy relative to the elements, uncorrected = -0.7897 eV per atom
Space-group type = P2_1/m (11)
Theoretical density = 6.316 g cm⁻³

a = 7.824 Å, b = 3.435 Å, c = 7.903 Å
α = 90.00°, β = 112.36°, γ = 90.00°
Atoms (fractional coordinates):
Rb (0.237, 0.250, 0.278)
Rb (0.763, 0.750, 0.722)
Np (0.340, 0.250, 0.816)
Np (0.660, 0.750, 0.184)
Be (0.098, 0.750, 0.568)
Be (0.902, 0.250, 0.432)
N (0.055, 0.250, 0.651)
N (0.336, 0.750, 0.650)
N (0.363, 0.750, 0.001)
N (0.637, 0.250, 0.999)
N (0.664, 0.250, 0.350)
N (0.945, 0.750, 0.349)

First-principles (GGA-PBE) data for an optimized crystal structure of DyEr2Lu, as listed in Alexandria.

## Properties
Energy relative to the elements = 55 kJ/mol of formula units
Energy above the most stable polymorph in this dataset = 0.116 eV per atom
Space-group type = Fm-3m (225)
Theoretical density = 9.071 g cm⁻³

a = 7.895 Å, b = 7.895 Å, c = 7.895 Å
α = 90.00°, β = 90.00°, γ = 90.00°
Atoms (fractional coordinates):
Dy (0.000, 0.000, 0.000)
Dy (0.000, 0.500, 0.500)
Dy (0.500, 0.000, 0.500)
Dy (0.500, 0.500, 0.000)
Er (0.250, 0.250, 0.250)
Er (0.250, 0.250, 0.750)
Er (0.250, 0.750, 0.250)
Er (0.250, 0.750, 0.750)
Er (0.750, 0.250, 0.250)
Er (0.750, 0.250, 0.750)
Er (0.750, 0.750, 0.250)
Er (0.750, 0.750, 0.750)
Lu (0.000, 0.000, 0.500)
Lu (0.000, 0.500, 0.000)
Lu (0.500, 0.000, 0.000)
Lu (0.500, 0.500, 0.500)